Entry from Alexandria: Pr2SmDyY after structural relaxation (PBE).

abc: 7.328 8.494 7.246
angles: 125.88 90.00 90.00
Fractional coordinates of all 10 atoms:
Pr  0.500  0.308  0.000
Pr  0.000  0.692  0.000
Pr  0.500  0.692  0.000
Pr  0.000  0.308  0.000
Sm  0.250  0.720  0.439
Sm  0.750  0.280  0.561
Dy  0.750  0.738  0.477
Dy  0.250  0.262  0.523
Y  0.250  0.984  0.968
Y  0.750  0.016  0.032

energy of formation from the pure elements = 415 meV per atom
SG = Cmcm
V = 36.5 Å³/atom